Record 1
# ReP3H GGA-PBE optimized geometry
# offset from the most stable computed form: 31 meV/atom
data_ReP3H
_chemical_formula_sum 'Re1 P3 H1'
_cell_length_a 4.6046
_cell_length_b 4.6046
_cell_length_c 4.6046
_cell_angle_alpha 90.00
_cell_angle_beta 90.00
_cell_angle_gamma 90.00
_space_group_name_H-M_alt 'P m -3 m'
_space_group_IT_number 221
_space_group_name_Hall '-P 4 2 3'
loop_
_atom_site_label
_atom_site_fract_x
_atom_site_fract_y
_atom_site_fract_z
_atom_site_occupancy
Re1 0.0000 0.0000 0.0000 1
P1 0.0000 0.0000 0.5000 1
H1 0.5000 0.5000 0.5000 1

=====

Record 2
# TiFeCo2 GGA-PBE optimized geometry
# formation enthalpy at 0 K: 0.34 eV per atom
data_TiFeCo2
_chemical_formula_sum 'Ti2 Fe2 Co4'
_cell_length_a 2.6630
_cell_length_b 4.0014
_cell_length_c 9.8903
_cell_angle_alpha 90.00
_cell_angle_beta 90.00
_cell_angle_gamma 90.00
_space_group_name_H-M_alt 'I m m m'
_space_group_IT_number 71
_space_group_name_Hall '-I 2 2'
loop_
_atom_site_label
_atom_site_fract_x
_atom_site_fract_y
_atom_site_fract_z
_atom_site_occupancy
Ti1 0.0000 0.0000 0.0000 1
Fe1 0.0000 0.0000 0.5000 1
Co1 0.0000 0.0000 0.2771 1

=====

Record 3
# Sr2CaAsOs GGA-PBE optimized geometry
# formation enthalpy at 0 K: 0.50 eV per atom
data_Sr2CaAsOs
_chemical_formula_sum 'Sr2 Ca1 As1 Os1'
_cell_length_a 5.8123
_cell_length_b 5.8123
_cell_length_c 5.4321
_cell_angle_alpha 90.00
_cell_angle_beta 90.00
_cell_angle_gamma 90.00
_space_group_name_H-M_alt 'P 4/m m m'
_space_group_IT_number 123
_space_group_name_Hall '-P 4 2'
loop_
_atom_site_label
_atom_site_fract_x
_atom_site_fract_y
_atom_site_fract_z
_atom_site_occupancy
Sr1 0.0000 0.5000 0.0000 1
Ca1 0.0000 0.0000 0.5000 1
As1 0.0000 0.0000 0.0000 1
Os1 0.5000 0.5000 0.5000 1

=====

Record 4
# NiGe3H GGA-PBE optimized geometry
# offset from the most stable computed form: 0 meV/atom
data_NiGe3H
_chemical_formula_sum 'Ni1 Ge3 H1'
_cell_length_a 4.1288
_cell_length_b 4.1288
_cell_length_c 4.1288
_cell_angle_alpha 90.00
_cell_angle_beta 90.00
_cell_angle_gamma 90.00
_space_group_name_H-M_alt 'P m -3 m'
_space_group_IT_number 221
_space_group_name_Hall '-P 4 2 3'
loop_
_atom_site_label
_atom_site_fract_x
_atom_site_fract_y
_atom_site_fract_z
_atom_site_occupancy
Ni1 0.0000 0.0000 0.0000 1
Ge1 0.0000 0.5000 0.5000 1
H1 0.5000 0.5000 0.5000 1